Tb2CeRu2 | PBE | optimized geometry

Cell lengths 11.621, 5.308, 8.780 Å; angles 90.00, 114.51, 90.00 degrees
Space group C2/m (No. 12)
Asymmetric unit:
Tb 0.018 0.000 0.229 [4 per cell]
Tb 0.150 0.500 0.512 [4 per cell]
Ce 0.186 0.500 0.106 [4 per cell]
Ru 0.102 0.500 0.819 [4 per cell]
Ru 0.144 0.000 0.606 [4 per cell]

Output
The formation energy from the elements is -0.300 eV per atom. For the total DFT energy (no corrections), the calculation gives -7.050 eV/atom. The calculation puts the magnetic moment at 0.0 μB per cell.

---

Li3TlSb | PBE | optimized geometry

Cell lengths 7.7555, 7.7555, 7.3804 Å; angles 90.00, 90.00, 120.00 degrees
Space group R3m (No. 160, hexagonal axes)
Asymmetric unit:
Li 0.1958 0.3917 0.0000 [9 per cell]
Tl 0.0000 0.0000 0.6623 [3 per cell]
Sb 0.0000 0.0000 0.0674 [3 per cell]

Output
For the total DFT energy (no corrections), the calculation gives -2.697 eV/atom. The calculation puts the magnetic moment at 0.0 μB per cell. The formation energy (no corrections) is -251 meV per atom.

---

Na3CdRh | PBE | optimized geometry

Cell lengths 5.402, 5.402, 5.402 Å; angles 90.00, 90.00, 90.00 degrees
Space group Pm-3m (No. 221)
Asymmetric unit:
Na 0.000 0.000 0.500 [3 per cell]
Cd 0.500 0.500 0.500 [1 per cell]
Rh 0.000 0.000 0.000 [1 per cell]

Output
The formation energy from the elements is 0.478 eV per atom. For the total DFT energy (no corrections), the calculation gives -1.967 eV/atom. The calculation puts the magnetic moment at 0.0 μB per cell.

---

SnPb2Se4 | PBE | optimized geometry

Cell lengths 5.326, 5.326, 15.012 Å; angles 90.00, 90.00, 90.00 degrees
Space group I4/mmm (No. 139)
Asymmetric unit:
Sn 0.000 0.000 0.000 [2 per cell]
Pb 0.000 0.000 0.368 [4 per cell]
Se 0.000 0.000 0.179 [4 per cell]
Se 0.000 0.500 0.000 [4 per cell]

Output
For the total DFT energy (no corrections), the calculation gives -3.797 eV/atom. The calculation puts the magnetic moment at 0.0 μB per cell. The formation energy (no corrections) is -174 meV per atom.